[1]
This record from the Alexandria database describes a geometry-optimized As2OsPb structure. The functional is PBEsol.

a = 4.8242 Å, b = 4.8242 Å, c = 3.3126 Å
α = 90.00°, β = 90.00°, γ = 106.22°
Closest atoms and distances in Å follow each position.
Positions (direct):
As 0.0000 0.5000 0.0000  2 As 2.90, 4 Pb 2.93, 4 Os 2.93
As 0.5000 0.0000 0.0000  2 As 2.90, 4 Pb 2.93, 4 Os 2.93
Os 0.0000 0.0000 0.5000  2 Pb 2.90, 8 As 2.93
Pb 0.5000 0.5000 0.5000  2 Os 2.90, 8 As 2.93

Properties
**DOS(E_F)**: 0.6479 states/eV per atom
**Energy of formation from the pure elements**: 0.79 eV per atom

[2]
This record from the Alexandria database describes a geometry-optimized As2OsPb structure. The functional is PBEsol.

a = 9.1609 Å, b = 9.1609 Å, c = 9.1609 Å
α = 20.06°, β = 20.06°, γ = 20.06°
Closest atoms and distances in Å follow each position.
Positions (direct):
As 0.2312 0.2312 0.2312  3 Os 2.53
As 0.7688 0.7688 0.7688  3 Os 2.53
Os 0.5000 0.5000 0.5000  6 As 2.53
Pb 0.0000 0.0000 0.0000  6 Pb 3.19, 6 As 3.31

Properties
**DOS(E_F)**: 0.6318 states/eV per atom
**Energy of formation from the pure elements**: 0.18 eV per atom

[3]
This record from the Alexandria database describes a geometry-optimized As2OsPb structure. The functional is PBEsol.

a = 4.7069 Å, b = 4.7069 Å, c = 4.7069 Å
α = 60.00°, β = 60.00°, γ = 60.00°
Closest atoms and distances in Å follow each position.
Positions (direct):
As 0.0000 0.0000 0.0000  4 As 2.88, 4 Pb 2.88
As 0.2500 0.2500 0.2500  4 Os 2.88, 4 As 2.88
Os 0.5000 0.5000 0.5000  4 Pb 2.88, 4 As 2.88
Pb 0.7500 0.7500 0.7500  4 As 2.88, 4 Os 2.88

Properties
**DOS(E_F)**: 0.7341 states/eV per atom
**Energy of formation from the pure elements**: 0.81 eV per atom

[4]
This record from the Alexandria database describes a geometry-optimized AsOs3Pb structure. The functional is PBEsol.

a = 4.8745 Å, b = 4.8745 Å, c = 4.8745 Å
α = 90.00°, β = 90.00°, γ = 90.00°
Closest atoms and distances in Å follow each position.
Positions (direct):
As 0.0000 0.0000 0.0000  12 Os 3.45
Os 0.0000 0.5000 0.5000  2 Pb 2.44
Os 0.5000 0.0000 0.5000  2 Pb 2.44
Os 0.5000 0.5000 0.0000  2 Pb 2.44
Pb 0.5000 0.5000 0.5000  6 Os 2.44

Properties
**DOS(E_F)**: 1.5553 states/eV per atom
**Energy of formation from the pure elements**: 3.33 eV per atom

[5]
This record from the Alexandria database describes a geometry-optimized As2OsPb structure. The functional is PBEsol.

a = 3.9666 Å, b = 4.4673 Å, c = 5.0061 Å
α = 90.00°, β = 100.13°, γ = 90.00°
Closest atoms and distances in Å follow each position.
Positions (direct):
As 0.0000 0.0000 0.0000  2 Os 2.44
As 0.3209 0.5000 0.8481  2 Os 2.34-2.56
Os 0.8515 0.5000 0.1403  4 As 2.34-2.56
Pb 0.6036 0.0000 0.4452  3 As 2.94-2.97, 2 Os 2.97

Properties
**DOS(E_F)**: 0.7056 states/eV per atom
**Energy of formation from the pure elements**: 0.48 eV per atom

[6]
This record from the Alexandria database describes a geometry-optimized SiAsOs2Pb structure. The functional is PBEsol.

a = 4.9593 Å, b = 4.9593 Å, c = 5.0571 Å
α = 90.00°, β = 90.00°, γ = 90.00°
Closest atoms and distances in Å follow each position.
Positions (direct):
Si 0.0000 0.0000 0.0000  4 As 3.51, 8 Os 3.54
As 0.5000 0.5000 0.0000  2 Pb 2.53
Os 0.0000 0.5000 0.5000  2 Pb 2.48
Os 0.5000 0.0000 0.5000  2 Pb 2.48
Pb 0.5000 0.5000 0.5000  4 Os 2.48, 2 As 2.53

Properties
**DOS(E_F)**: 1.5579 states/eV per atom
**Energy**: -5.011 eV per atom

[7]
This record from the Alexandria database describes a geometry-optimized As2OsPd structure. The functional is PBEsol.

a = 6.6364 Å, b = 6.6364 Å, c = 6.6364 Å
α = 130.22°, β = 130.22°, γ = 73.06°
Closest atoms and distances in Å follow each position.
Positions (direct):
As 0.1131 0.6250 0.9881  2 Os 2.34, 2 Pd 2.42
As 0.3750 0.3631 0.4881  2 Os 2.34, 2 Pd 2.42
As 0.6369 0.1250 0.0119  2 Os 2.34, 2 Pd 2.42
As 0.8750 0.8869 0.5119  2 Os 2.34, 2 Pd 2.42
Os 0.0000 0.0000 0.0000  4 As 2.34
Os 0.7500 0.2500 0.5000  4 As 2.34
Pd 0.2500 0.7500 0.5000  4 As 2.42
Pd 0.5000 0.5000 0.0000  4 As 2.42

Properties
**DOS(E_F)**: 0.6673 states/eV per atom
**Energy of formation from the pure elements**: 0.25 eV per atom

[8]
This record from the Alexandria database describes a geometry-optimized AsOs2Pt structure. The functional is PBEsol.

a = 4.5291 Å, b = 4.5291 Å, c = 2.8572 Å
α = 90.00°, β = 90.00°, γ = 99.82°
Closest atoms and distances in Å follow each position.
Positions (direct):
As 0.0000 0.0000 0.0000  8 Os 2.68, 2 As 2.86, 2 Pt 2.92
Os 0.0000 0.5000 0.5000  4 As 2.68, 4 Pt 2.68, 4 Os 2.86-2.92
Os 0.5000 0.0000 0.5000  4 As 2.68, 4 Pt 2.68, 4 Os 2.86-2.92
Pt 0.5000 0.5000 0.0000  8 Os 2.68, 2 Pt 2.86, 2 As 2.92

Properties
**DOS(E_F)**: 0.7996 states/eV per atom
**Energy of formation from the pure elements**: 0.43 eV per atom

[9]
This record from the Alexandria database describes a geometry-optimized AsOsPt2 structure. The functional is PBEsol.

a = 4.5254 Å, b = 2.8986 Å, c = 4.7421 Å
α = 90.00°, β = 106.72°, γ = 90.00°
Closest atoms and distances in Å follow each position.
Positions (direct):
As 0.0000 0.0000 0.0000  4 Os 2.69, 6 Pt 2.77-2.78, 2 As 2.90
Os 0.5000 0.5000 0.0000  4 As 2.69, 6 Pt 2.77-2.78, 2 Os 2.90
Pt 0.0000 0.5000 0.5000  6 Pt 2.69-2.90, 2 Os 2.77, 4 As 2.78
Pt 0.5000 0.0000 0.5000  6 Pt 2.69-2.90, 2 As 2.77, 4 Os 2.78

Properties
**DOS(E_F)**: 0.6083 states/eV per atom
**Energy of formation from the pure elements**: 0.21 eV per atom

[10]
This record from the Alexandria database describes a geometry-optimized AsOs2Pt structure. The functional is PBEsol.

a = 4.3914 Å, b = 4.3914 Å, c = 4.3914 Å
α = 60.00°, β = 60.00°, γ = 60.00°
Closest atoms and distances in Å follow each position.
Positions (direct):
As 0.0000 0.0000 0.0000  4 Os 2.69, 4 Pt 2.69
Os 0.2500 0.2500 0.2500  4 As 2.69, 4 Os 2.69
Os 0.5000 0.5000 0.5000  4 Os 2.69, 4 Pt 2.69
Pt 0.7500 0.7500 0.7500  4 As 2.69, 4 Os 2.69

Properties
**DOS(E_F)**: 1.4118 states/eV per atom
**Energy of formation from the pure elements**: 0.69 eV per atom

[11]
This record from the Alexandria database describes a geometry-optimized AsOs2Pt structure. The functional is PBEsol.

a = 4.7884 Å, b = 4.7884 Å, c = 4.5556 Å
α = 92.43°, β = 92.43°, γ = 34.60°
Closest atoms and distances in Å follow each position.
Positions (direct):
As 0.0000 0.0000 0.0000  1 Pt 2.44, 3 Os 2.48-2.58
Os 0.4963 0.4963 0.4707  4 As 2.58-2.80, 5 Os 2.65-2.85, 3 Pt 2.79-2.82
Os 0.7693 0.7693 0.2662  1 As 2.48, 3 Os 2.65-2.70, 4 Pt 2.65-2.77
Pt 0.2303 0.2303 0.7484  1 As 2.44, 2 Os 2.65

Properties
**DOS(E_F)**: 0.6763 states/eV per atom
**Energy of formation from the pure elements**: 0.33 eV per atom

[12]
This record from the Alexandria database describes a geometry-optimized AsOsPt2 structure. The functional is PBEsol.

a = 2.7790 Å, b = 2.7790 Å, c = 7.9161 Å
α = 90.00°, β = 90.00°, γ = 90.00°
Closest atoms and distances in Å follow each position.
Positions (direct):
As 0.0000 0.0000 0.0000  4 As 2.78, 8 Pt 2.87
Os 0.0000 0.0000 0.5000  8 Pt 2.71, 4 Os 2.78
Pt 0.5000 0.5000 0.2641  4 Os 2.71, 4 Pt 2.78, 4 As 2.87
Pt 0.5000 0.5000 0.7359  4 Os 2.71, 4 Pt 2.78, 4 As 2.87

Properties
**DOS(E_F)**: 0.9879 states/eV per atom
**Energy of formation from the pure elements**: 0.19 eV per atom

[13]
This record from the Alexandria database describes a geometry-optimized AsOs2Pt structure. The functional is PBEsol.

a = 4.4989 Å, b = 4.4989 Å, c = 4.4989 Å
α = 125.66°, β = 125.66°, γ = 80.45°
Closest atoms and distances in Å follow each position.
Positions (direct):
As 0.0000 0.0000 0.0000  8 Os 2.68, 4 Pt 2.91
Os 0.2500 0.7500 0.5000  4 As 2.68, 4 Pt 2.68, 4 Os 2.91
Os 0.7500 0.2500 0.5000  4 As 2.68, 4 Pt 2.68, 4 Os 2.91
Pt 0.5000 0.5000 0.0000  8 Os 2.68, 4 As 2.91

Properties
**DOS(E_F)**: 0.9399 states/eV per atom
**Energy of formation from the pure elements**: 0.49 eV per atom

[14]
This record from the Alexandria database describes a geometry-optimized AsOsPt2 structure. The functional is PBEsol.

a = 2.7496 Å, b = 2.7496 Å, c = 9.3537 Å
α = 90.00°, β = 90.00°, γ = 120.10°
Closest atoms and distances in Å follow each position.
Positions (direct):
As 0.0000 0.0000 0.0000  2 Os 2.60, 6 As 2.75, 2 Pt 2.81
Os 0.5000 0.5000 0.2363  2 As 2.60, 2 Pt 2.67, 6 Os 2.75
Pt 0.0000 0.0000 0.4816  2 Os 2.67, 8 Pt 2.75-2.76
Pt 0.5000 0.5000 0.7378  8 Pt 2.75-2.76, 2 As 2.81

Properties
**DOS(E_F)**: 0.8593 states/eV per atom
**Energy of formation from the pure elements**: 0.35 eV per atom

[15]
This record from the Alexandria database describes a geometry-optimized AsOs2Pt structure. The functional is PBEsol.

a = 4.4467 Å, b = 4.4467 Å, c = 2.9266 Å
α = 90.00°, β = 90.00°, γ = 90.00°
Closest atoms and distances in Å follow each position.
Positions (direct):
As 0.0000 0.0000 0.0000  8 Os 2.66, 2 As 2.93
Os 0.0000 0.5000 0.5000  4 As 2.66, 4 Pt 2.66, 2 Os 2.93
Os 0.5000 0.0000 0.5000  4 As 2.66, 4 Pt 2.66, 2 Os 2.93
Pt 0.5000 0.5000 0.0000  8 Os 2.66, 2 Pt 2.93

Properties
**DOS(E_F)**: 0.6655 states/eV per atom
**Energy of formation from the pure elements**: 0.45 eV per atom

[16]
This record from the Alexandria database describes a geometry-optimized As2OsPtSe structure. The functional is PBEsol.

a = 4.6591 Å, b = 4.6591 Å, c = 4.8461 Å
α = 90.00°, β = 90.00°, γ = 90.00°
Closest atoms and distances in Å follow each position.
Positions (direct):
As 0.0000 0.5000 0.0000  2 Pt 2.33
As 0.5000 0.0000 0.0000  2 Pt 2.33
Os 0.0000 0.0000 0.5000  4 Se 3.29, 8 As 3.36
Pt 0.5000 0.5000 0.0000  4 As 2.33, 2 Se 2.42
Se 0.5000 0.5000 0.5000  2 Pt 2.42

Properties
**DOS(E_F)**: 0.8573 states/eV per atom
**Energy**: -5.177 eV per atom

[17]
This record from the Alexandria database describes a geometry-optimized Tc2AsOsPt structure. The functional is PBEsol.

a = 4.6336 Å, b = 4.6336 Å, c = 4.5063 Å
α = 90.00°, β = 90.00°, γ = 90.00°
Closest atoms and distances in Å follow each position.
Positions (direct):
Tc 0.0000 0.5000 0.0000  2 Pt 2.32
Tc 0.5000 0.0000 0.0000  2 Pt 2.32
As 0.0000 0.0000 0.5000  2 Pt 2.25
Os 0.5000 0.5000 0.5000  8 Tc 3.23, 4 As 3.28
Pt 0.0000 0.0000 0.0000  2 As 2.25, 4 Tc 2.32

Properties
**DOS(E_F)**: 1.6493 states/eV per atom
**Energy of formation from the pure elements**: 2.34 eV per atom

[18]
This record from the Alexandria database describes a geometry-optimized Ti2AsOsPt structure. The functional is PBEsol.

a = 4.5106 Å, b = 4.5106 Å, c = 4.4208 Å
α = 90.00°, β = 90.00°, γ = 90.00°
Closest atoms and distances in Å follow each position.
Positions (direct):
Ti 0.0000 0.5000 0.0000  2 As 2.26
Ti 0.5000 0.0000 0.0000  2 As 2.26
As 0.0000 0.0000 0.0000  2 Os 2.21, 4 Ti 2.26
Os 0.0000 0.0000 0.5000  2 As 2.21
Pt 0.5000 0.5000 0.5000  8 Ti 3.16, 4 Os 3.19

Properties
**DOS(E_F)**: 0.5411 states/eV per atom
**Energy of formation from the pure elements**: 0.56 eV per atom

[19]
This record from the Alexandria database describes a geometry-optimized AsOsPtW2 structure. The functional is PBEsol.

a = 4.7454 Å, b = 4.7454 Å, c = 4.4680 Å
α = 90.00°, β = 90.00°, γ = 90.00°
Closest atoms and distances in Å follow each position.
Positions (direct):
As 0.0000 0.0000 0.0000  2 Os 2.23
Os 0.0000 0.0000 0.5000  2 As 2.23, 4 W 2.37
Pt 0.5000 0.5000 0.0000  8 W 3.26, 4 As 3.36
W 0.0000 0.5000 0.5000  2 Os 2.37
W 0.5000 0.0000 0.5000  2 Os 2.37

Properties
**DOS(E_F)**: 1.1634 states/eV per atom
**Energy of formation from the pure elements**: 1.89 eV per atom

[20]
This record from the Alexandria database describes a geometry-optimized RbAsOsSe2 structure. The functional is PBEsol.

a = 5.3685 Å, b = 5.3685 Å, c = 5.4521 Å
α = 90.00°, β = 90.00°, γ = 90.00°
Closest atoms and distances in Å follow each position.
Positions (direct):
Rb 0.0000 0.0000 0.0000  4 Se 2.68, 2 As 2.73
As 0.0000 0.0000 0.5000  2 Rb 2.73
Os 0.5000 0.5000 0.5000  4 As 3.80, 8 Se 3.83
Se 0.0000 0.5000 0.0000  2 Rb 2.68
Se 0.5000 0.0000 0.0000  2 Rb 2.68

Properties
**DOS(E_F)**: 1.5447 states/eV per atom
**Energy**: -2.574 eV per atom